[1]
ErTeSe: relaxed, PBE.

Output
Size of the total moment, μB/f.u.: 0.00
Formation energy without anion corrections, eV/atom: -1.171
Electronic total energy, eV per formula unit: -14.70
Polymorph energy (0 for the lowest one), eV/atom: 0.206

Lattice parameters (Å, degrees): 3.9379 3.9379 7.5765 90.00 90.00 120.00
Atoms (fractional coordinates):
Er 0.0000 0.0000 0.0000
Te 0.3333 0.6667 0.7022
Se 0.6667 0.3333 0.1979

***

[2]
TbErTh2: relaxed, PBE.

Output
Size of the total moment, μB/f.u.: 0.00
Electronic total energy, eV per formula unit: -23.47
Polymorph energy (0 for the lowest one), eV/atom: 0.110
ΔH_f (0 K), eV per atom: 0.14

Lattice parameters (Å, degrees): 5.6432 5.6432 5.6432 60.00 60.00 60.00
Atoms (fractional coordinates):
Tb 0.0000 0.0000 0.0000
Er 0.5000 0.5000 0.5000
Th 0.2500 0.2500 0.2500
Th 0.7500 0.7500 0.7500

***

[3]
ReBiOF2: relaxed, PBE.

Output
Size of the total moment, μB/f.u.: 5.99
Formation energy without anion corrections, eV/atom: -0.142
Electronic total energy, eV per formula unit: -25.74
Polymorph energy (0 for the lowest one), eV/atom: 0.573

Lattice parameters (Å, degrees): 4.6553 4.6553 4.5305 90.00 90.00 90.00
Atoms (fractional coordinates):
Re 0.0000 0.0000 0.0000
Bi 0.5000 0.5000 0.5000
O 0.5000 0.5000 0.0000
F 0.0000 0.5000 0.5000
F 0.5000 0.0000 0.5000